# 1
Fe2Te3Se: optimized geometry, PBE-GGA.

```
Fe2Te3Se
1.0
5.146 0.000 0.000
0.000 3.815 0.000
-0.127 0.000 6.134
Se Te Fe
1 3 2
direct
0.724 0.000 0.861
0.229 0.500 0.641
0.276 0.000 0.134
0.775 0.500 0.362
0.505 0.000 0.506
0.991 0.500 0.995
```

Spin magnetization in μB/f.u.: 0.01
Energy in eV per atom: -5.118
V in Å³/cell: 120

# 2
Th2FeSe5: optimized geometry, PBE-GGA.

```
Th2FeSe5
1.0
7.840 -3.330 0.000
7.840 3.330 0.000
-0.948 0.000 7.508
Th Se Fe
4 10 2
direct
0.892 0.322 0.084
0.108 0.678 0.916
0.322 0.892 0.584
0.678 0.108 0.416
0.467 0.713 0.933
0.713 0.467 0.433
0.143 0.300 0.814
0.914 0.086 0.750
0.533 0.287 0.067
0.086 0.914 0.250
0.300 0.143 0.314
0.857 0.700 0.186
0.700 0.857 0.686
0.287 0.533 0.567
0.000 0.500 0.500
0.500 0.000 0.000
```

Spin magnetization in μB/f.u.: 3.93
Energy in eV per atom: -6.387
V in Å³/cell: 392

# 3
TlFe2Se3: optimized geometry, PBE-GGA.

```
TlFe2Se3
1.0
-2.901 2.407 7.341
-2.593 -2.415 -0.233
6.335 -6.883 0.838
Tl Fe Se
2 4 6
direct
0.996 0.250 0.768
0.004 0.750 0.232
0.529 0.750 0.329
0.471 0.250 0.671
0.524 0.250 0.111
0.476 0.750 0.889
0.691 0.250 0.942
0.352 0.250 0.387
0.749 0.250 0.356
0.309 0.750 0.058
0.648 0.750 0.613
0.251 0.750 0.644
```

Spin magnetization in μB/f.u.: 4.93
Energy in eV per atom: -5.162
V in Å³/cell: 256